# 1
Below is an optimized crystal structure of Pm2Si5Os, with properties calculated at the PBE level.

Results
E_form (uncorrected): -0.49 eV/atom

a = 5.856 Å, b = 5.856 Å, c = 6.098 Å
α = 118.69°, β = 118.69°, γ = 90.00°
Fractional positions:
Pm: 0.268 0.768 0.536
Pm: 0.768 0.268 0.536
Si: 0.722 0.303 0.025
Si: 0.303 0.303 0.025
Si: 0.722 0.722 0.025
Si: 0.303 0.722 0.025
Si: 0.715 0.715 0.431
Os: 0.976 0.976 0.952

***

# 2
Below is an optimized crystal structure of KZr2Mo, with properties calculated at the PBE level.

Results
Formation energy: 1000 meV/atom

a = 6.200 Å, b = 6.200 Å, c = 2.726 Å
α = 79.97°, β = 79.97°, γ = 114.22°
Fractional positions:
K: 0.500 0.000 0.500
Mo: 0.000 0.500 0.500
Zr: 0.000 0.000 0.000
Zr: 0.500 0.500 0.000

***

# 3
Below is an optimized crystal structure of VIrSeBr2, with properties calculated at the PBE level.

Results
E_form (uncorrected): 0.89 eV/atom

a = 4.954 Å, b = 4.960 Å, c = 4.954 Å
α = 90.00°, β = 90.00°, γ = 90.00°
Fractional positions:
Ir: 0.000 0.000 0.000
Se: 0.500 0.500 0.500
Br: 0.000 0.000 0.500
Br: 0.500 0.000 0.000
V: 0.000 0.500 0.000

***

# 4
Below is an optimized crystal structure of ZnCd2Ge, with properties calculated at the PBE level.

Results
Formation energy: 209 meV/atom

a = 3.034 Å, b = 3.034 Å, c = 10.938 Å
α = 82.03°, β = 82.03°, γ = 60.00°
Fractional positions:
Ge: 0.500 0.500 0.500
Zn: 0.000 0.000 0.000
Cd: 0.086 0.086 0.742
Cd: 0.914 0.914 0.258

***

# 5
Below is an optimized crystal structure of YOsPb2, with properties calculated at the PBE level.

Results
Formation energy: 463 meV/atom

a = 4.354 Å, b = 4.354 Å, c = 11.142 Å
α = 78.73°, β = 78.73°, γ = 90.00°
Fractional positions:
Pb: 0.638 0.125 0.250
Pb: 0.112 0.625 0.250
Pb: 0.375 0.362 0.750
Pb: 0.875 0.888 0.750
Y: 0.500 0.500 0.000
Y: 0.250 0.750 0.500
Os: 0.000 0.000 0.000
Os: 0.750 0.250 0.500

***

# 6
Below is an optimized crystal structure of Ag3Pd12Pt, with properties calculated at the PBE level.

Results
Formation energy: -6 meV/atom

a = 3.981 Å, b = 3.981 Å, c = 15.966 Å
α = 90.00°, β = 90.00°, γ = 90.00°
Fractional positions:
Ag: 0.000 0.000 0.249
Ag: 0.000 0.000 0.500
Ag: 0.000 0.000 0.751
Pd: 0.500 0.500 0.000
Pd: 0.500 0.500 0.249
Pd: 0.500 0.500 0.500
Pd: 0.500 0.500 0.751
Pd: 0.500 0.000 0.122
Pd: 0.500 0.000 0.374
Pd: 0.500 0.000 0.626
Pd: 0.500 0.000 0.878
Pd: 0.000 0.500 0.122
Pd: 0.000 0.500 0.374
Pd: 0.000 0.500 0.626
Pd: 0.000 0.500 0.878
Pt: 0.000 0.000 0.000

***

# 7
Below is an optimized crystal structure of Na3Li2UO6, with properties calculated at the PBE level.

Results
E_form (uncorrected): -2.17 eV/atom

a = 5.522 Å, b = 5.522 Å, c = 5.736 Å
α = 98.99°, β = 98.99°, γ = 120.19°
Fractional positions:
Na: 0.180 0.820 0.500
Na: 0.820 0.180 0.500
Na: 0.500 0.500 0.500
Li: 0.333 0.667 0.000
Li: 0.667 0.333 0.000
U: 0.000 0.000 0.000
O: 0.928 0.616 0.787
O: 0.762 0.762 0.214
O: 0.072 0.384 0.213
O: 0.616 0.928 0.787
O: 0.238 0.238 0.786
O: 0.384 0.072 0.213

***

# 8
Below is an optimized crystal structure of Ho2FeP, with properties calculated at the PBE level.

Results
Formation energy: -15 meV/atom

a = 3.653 Å, b = 3.653 Å, c = 8.999 Å
α = 78.29°, β = 78.29°, γ = 60.00°
Fractional positions:
P: 0.500 0.500 0.500
Ho: 0.103 0.103 0.691
Ho: 0.897 0.897 0.309
Fe: 0.000 0.000 0.000

***

# 9
Below is an optimized crystal structure of La2IrAu, with properties calculated at the PBE level.

Results
Formation energy: -580 meV/atom

a = 6.924 Å, b = 6.924 Å, c = 4.480 Å
α = 71.12°, β = 71.12°, γ = 31.33°
Fractional positions:
Au: 0.443 0.443 0.557
Ir: 0.746 0.746 0.754
La: 0.049 0.049 0.951
La: 0.262 0.262 0.238

***

# 10
Below is an optimized crystal structure of AcYAg, with properties calculated at the PBE level.

Results
Formation energy: -166 meV/atom

a = 5.009 Å, b = 5.009 Å, c = 7.743 Å
α = 90.00°, β = 90.00°, γ = 90.00°
Fractional positions:
Ac: 0.000 0.500 0.875
Ac: 0.500 0.000 0.125
Ag: 0.000 0.500 0.278
Ag: 0.500 0.000 0.722
Y: 0.500 0.500 0.500
Y: 0.000 0.000 0.500

***

# 11
Below is an optimized crystal structure of Li2TeIr, with properties calculated at the PBE level.

Results
E_form (uncorrected): -0.02 eV/atom

a = 2.921 Å, b = 2.921 Å, c = 8.742 Å
α = 90.00°, β = 90.00°, γ = 103.02°
Fractional positions:
Ir: 0.500 0.500 0.750
Li: 0.000 0.000 0.957
Li: 0.000 0.000 0.543
Te: 0.500 0.500 0.250

***

# 12
Below is an optimized crystal structure of LiTlRu2, with properties calculated at the PBE level.

Results
Formation energy: 406 meV/atom

a = 5.296 Å, b = 5.296 Å, c = 5.296 Å
α = 146.65°, β = 129.79°, γ = 61.63°
Fractional positions:
Li: 0.250 0.750 0.500
Ru: 0.010 0.010 0.000
Ru: 0.490 0.490 0.000
Tl: 0.750 0.250 0.500

***

# 13
Below is an optimized crystal structure of ReSeBr, with properties calculated at the PBE level.

Results
E_form (uncorrected): 0.45 eV/atom

a = 4.353 Å, b = 4.353 Å, c = 4.353 Å
α = 60.00°, β = 60.00°, γ = 60.00°
Fractional positions:
Br: 0.500 0.500 0.500
Re: 0.750 0.750 0.750
Se: 0.000 0.000 0.000

***

# 14
Below is an optimized crystal structure of Eu3AsH, with properties calculated at the PBE level.

Results
Final energy: -8.342 eV per atom

a = 4.884 Å, b = 4.884 Å, c = 4.884 Å
α = 90.00°, β = 90.00°, γ = 90.00°
Fractional positions:
Eu: 0.000 0.500 0.000
Eu: 0.000 0.000 0.500
Eu: 0.500 0.000 0.000
H: 0.000 0.000 0.000
As: 0.500 0.500 0.500

***

# 15
Below is an optimized crystal structure of ZrBrCl2, with properties calculated at the PBE level.

Results
E_form (uncorrected): -1.00 eV/atom

a = 3.183 Å, b = 3.183 Å, c = 9.353 Å
α = 90.00°, β = 90.00°, γ = 90.00°
Fractional positions:
Br: 0.500 0.500 0.750
Zr: 0.500 0.500 0.250
Cl: 0.000 0.000 0.085
Cl: 0.000 0.000 0.415

***

# 16
Below is an optimized crystal structure of YPtW, with properties calculated at the PBE level.

Results
Formation energy: 241 meV/atom

a = 3.128 Å, b = 3.128 Å, c = 6.954 Å
α = 90.00°, β = 90.00°, γ = 120.00°
Fractional positions:
Pt: 0.000 0.000 0.022
W: 0.667 0.333 0.312
Y: 0.333 0.667 0.666

***

# 17
Below is an optimized crystal structure of HRu3F, with properties calculated at the PBE level.

Results
Final energy: -5.957 eV per atom

a = 3.917 Å, b = 3.917 Å, c = 3.917 Å
α = 90.00°, β = 90.00°, γ = 90.00°
Fractional positions:
Ru: 0.000 0.500 0.000
Ru: 0.000 0.000 0.500
Ru: 0.500 0.000 0.000
H: 0.000 0.000 0.000
F: 0.500 0.500 0.500

***

# 18
Below is an optimized crystal structure of Cr2SiP, with properties calculated at the PBE level.

Results
E_form (uncorrected): 0.24 eV/atom

a = 6.483 Å, b = 6.483 Å, c = 5.321 Å
α = 52.47°, β = 52.47°, γ = 90.00°
Fractional positions:
Cr: 0.657 0.125 0.250
Cr: 0.093 0.625 0.250
Cr: 0.375 0.343 0.750
Cr: 0.875 0.907 0.750
Si: 0.500 0.500 0.000
Si: 0.250 0.750 0.500
P: 0.000 0.000 0.000
P: 0.750 0.250 0.500

***

# 19
Below is an optimized crystal structure of CaPmPu2As4, with properties calculated at the PBE level.

Results
Formation energy: -1121 meV/atom

a = 5.925 Å, b = 5.925 Å, c = 7.223 Å
α = 114.21°, β = 114.21°, γ = 90.00°
Fractional positions:
Ca: 0.437 0.437 0.000
Pm: 0.937 0.937 0.000
Pu: 0.187 0.687 0.500
Pu: 0.687 0.187 0.500
As: 0.937 0.437 0.000
As: 0.437 0.937 0.000
As: 0.185 0.185 0.495
As: 0.690 0.690 0.505

***

# 20
Below is an optimized crystal structure of RbNaAgSb, with properties calculated at the PBE level.

Results
E_form (uncorrected): -0.17 eV/atom

a = 5.413 Å, b = 5.413 Å, c = 5.413 Å
α = 60.00°, β = 60.00°, γ = 60.00°
Fractional positions:
Sb: 0.500 0.500 0.500
Rb: 0.000 0.000 0.000
Ag: 0.250 0.250 0.250
Na: 0.750 0.750 0.750